No. 1
# AcPmBeCu | the Alexandria database | GGA-PBE | relaxed
# - E (eV per atom) = -4.060
# - energy relative to the elements (eV/f.u.) = 0.4
# - total magnetic moment (μB/f.u.) = 0.00
# - DOS(E_F) (states/eV/atom) = 0.88
data_AcPmBeCu
_chemical_formula_sum 'Ac4 Pm4 Be4 Cu4'
_cell_length_a 7.3506
_cell_length_b 7.3506
_cell_length_c 7.3506
_cell_angle_alpha 90.00
_cell_angle_beta 90.00
_cell_angle_gamma 90.00
_space_group_name_H-M_alt 'F -4 3 m'
_space_group_IT_number 216
_space_group_name_Hall 'F -4 2 3'
loop_
_atom_site_label
_atom_site_type_symbol
_atom_site_fract_x
_atom_site_fract_y
_atom_site_fract_z
Ac1 Ac 0.0000 0.0000 0.0000
Pm1 Pm 0.0000 0.0000 0.5000
Be1 Be 0.2500 0.2500 0.7500
Cu1 Cu 0.2500 0.2500 0.2500

No. 2
# Ca2SmScTe4 | the Alexandria database | GGA-PBE | relaxed
# - E (eV per atom) = -4.865
# - ΔE_f (raw) (meV per atom) = -1412.3
# - total magnetic moment (μB/f.u.) = 0.00
# - DOS(E_F) (states/eV/atom) = 0.52
data_Ca2SmScTe4
_chemical_formula_sum 'Ca2 Sm1 Sc1 Te4'
_cell_length_a 7.5691
_cell_length_b 4.3703
_cell_length_c 7.7299
_cell_angle_alpha 90.00
_cell_angle_beta 109.09
_cell_angle_gamma 90.00
_space_group_name_H-M_alt 'P 1 2/m 1'
_space_group_IT_number 10
loop_
_space_group_symop_operation_xyz
'x,y,z'
'-x,-y,-z'
'-x,y,-z'
'x,-y,z'
loop_
_atom_site_label
_atom_site_type_symbol
_atom_site_fract_x
_atom_site_fract_y
_atom_site_fract_z
Ca1 Ca 0.0000 0.0000 0.0000
Ca2 Ca 0.5000 0.5000 0.0000
Sm1 Sm 0.0000 0.5000 0.5000
Sc1 Sc 0.5000 0.0000 0.5000
Te1 Te 0.2589 0.0000 0.7455
Te2 Te 0.2642 0.5000 0.2621

No. 3
# NdGaNi5 | the Alexandria database | GGA-PBE | relaxed
# - E (eV per atom) = -5.584
# - energy relative to the elements (eV/f.u.) = -2.4
# - total magnetic moment (μB/f.u.) = 0.00
# - DOS(E_F) (states/eV/atom) = 1.07
data_NdGaNi5
_chemical_formula_sum 'Nd4 Ga4 Ni20'
_cell_length_a 7.9587
_cell_length_b 4.8931
_cell_length_c 10.0635
_cell_angle_alpha 90.00
_cell_angle_beta 90.00
_cell_angle_gamma 90.00
_space_group_name_H-M_alt 'P n m a'
_space_group_IT_number 62
loop_
_space_group_symop_operation_xyz
'x,y,z'
'-x,-y,-z'
'-x+1/2,-y,z+1/2'
'x+1/2,y,-z+1/2'
'x+1/2,-y+1/2,-z+1/2'
'-x+1/2,y+1/2,z+1/2'
'-x,y+1/2,-z'
'x,-y+1/2,z'
loop_
_atom_site_label
_atom_site_type_symbol
_atom_site_fract_x
_atom_site_fract_y
_atom_site_fract_z
Nd1 Nd 0.2448 0.2500 0.0582
Ga1 Ga 0.1451 0.7500 0.8584
Ni1 Ni 0.0562 0.7500 0.0969
Ni2 Ni 0.0651 0.0044 0.3061
Ni3 Ni 0.0945 0.2500 0.5169
Ni4 Ni 0.1855 0.2500 0.7516